P) The following is a PBE-GGA calculation of FeCuBOs after structural relaxation, from OQMD.

Calculated values
The size of the total moment is 2.5 μB per cell.

Cell lengths 3.976, 3.976, 3.976 Å; angles 60.00, 60.00, 60.00 degrees
Fractional positions:
Fe  0.500  0.500  0.500
Cu  0.750  0.750  0.750
Os  0.250  0.250  0.250
B  0.000  0.000  0.000


Q) The following is a PBE-GGA calculation of FeCuBOs after structural relaxation, from OQMD.

Calculated values
The size of the total moment is 2.5 μB per cell.

Cell lengths 3.952, 3.952, 3.952 Å; angles 60.00, 60.00, 60.00 degrees
Fractional positions:
Fe  0.750  0.750  0.750
B  0.000  0.000  0.000
Os  0.250  0.250  0.250
Cu  0.500  0.500  0.500


Which structure is the most stable? The one labeled Q).


P) The following is a PBE-GGA calculation of ZrFeCuB after structural relaxation, from OQMD.

Calculated values
The size of the total moment is 1.3 μB per cell.

Cell lengths 4.171, 4.171, 4.171 Å; angles 60.00, 60.00, 60.00 degrees
Fractional positions:
Fe  0.250  0.250  0.250
Cu  0.750  0.750  0.750
B  0.000  0.000  0.000
Zr  0.500  0.500  0.500


Q) The following is a PBE-GGA calculation of ZrFeCuB after structural relaxation, from OQMD.

Calculated values
The size of the total moment is 2.0 μB per cell.

Cell lengths 4.200, 4.200, 4.200 Å; angles 60.00, 60.00, 60.00 degrees
Fractional positions:
Cu  0.750  0.750  0.750
B  0.000  0.000  0.000
Zr  0.250  0.250  0.250
Fe  0.500  0.500  0.500


Which structure is the most stable? The one labeled Q).


P) The following is a PBE-GGA calculation of GaCuB4 after structural relaxation, from OQMD.

Cell lengths 4.537, 4.537, 4.537 Å; angles 140.93, 109.09, 84.06 degrees
Fractional positions:
B  0.915  0.248  0.667
B  0.419  0.752  0.667
Ga  0.000  0.000  0.000
Cu  0.500  0.500  0.000
B  0.581  0.248  0.333
B  0.085  0.752  0.333


Q) The following is a PBE-GGA calculation of GaCuB4 after structural relaxation, from OQMD.

Cell lengths 3.038, 3.038, 6.719 Å; angles 90.00, 90.00, 120.00 degrees
Fractional positions:
B  0.333  0.667  0.756
Cu  0.000  0.000  0.000
Ga  0.000  0.000  0.500
B  0.333  0.667  0.244
B  0.667  0.333  0.756
B  0.667  0.333  0.244


Which structure is the most stable? The one labeled Q).


P) The following is a PBE-GGA calculation of CuNiGeB after structural relaxation, from OQMD.

Calculated values
The size of the total moment is 0.0 μB per cell.

Cell lengths 4.026, 4.026, 4.026 Å; angles 60.00, 60.00, 60.00 degrees
Fractional positions:
Ge  0.250  0.250  0.250
B  0.000  0.000  0.000
Cu  0.750  0.750  0.750
Ni  0.500  0.500  0.500


Q) The following is a PBE-GGA calculation of CuNiGeB after structural relaxation, from OQMD.

Calculated values
The size of the total moment is 0.0 μB per cell.

Cell lengths 3.987, 3.987, 3.987 Å; angles 60.00, 60.00, 60.00 degrees
Fractional positions:
Ge  0.000  0.000  0.000
Cu  0.750  0.750  0.750
B  0.500  0.500  0.500
Ni  0.250  0.250  0.250


Which structure is the most stable? The one labeled Q).